Entry 1:
# PBE PuBi2Rh, optimized geometry
# formation enthalpy at 0 K: -31.4 kJ per mole of atoms
data_PuBi2Rh
_chemical_formula_sum 'Pu4 Bi8 Rh4'
_cell_length_a 18.8545
_cell_length_b 4.6156
_cell_length_c 4.8128
_cell_angle_alpha 90.00
_cell_angle_beta 102.39
_cell_angle_gamma 90.00
_symmetry_space_group_name_H-M 'C 1 2/m 1'
_symmetry_Int_Tables_number 12
loop_
_symmetry_equiv_pos_as_xyz
'x,y,z'
'-x,-y,-z'
'-x,y,-z'
'x,-y,z'
'x+1/2,y+1/2,z'
'-x+1/2,-y+1/2,-z'
'-x+1/2,y+1/2,-z'
'x+1/2,-y+1/2,z'
loop_
_atom_site_label
_atom_site_type_symbol
_atom_site_fract_x
_atom_site_fract_y
_atom_site_fract_z
Pu1 Pu 0.1330 0.0000 0.1265
Bi1 Bi 0.0000 0.0000 0.5000
Bi2 Bi 0.0000 0.5000 0.0000
Bi3 Bi 0.1706 0.5000 0.6324
Rh1 Rh 0.2493 0.5000 0.1881

***

Entry 2:
# PBE HfMnGe2, optimized geometry
# formation enthalpy at 0 K: -23.1 kJ per mole of atoms
data_HfMnGe2
_chemical_formula_sum 'Hf3 Mn3 Ge6'
_cell_length_a 3.9891
_cell_length_b 3.9891
_cell_length_c 14.7718
_cell_angle_alpha 90.00
_cell_angle_beta 90.00
_cell_angle_gamma 120.00
_symmetry_space_group_name_H-M 'R -3 m'
_symmetry_Int_Tables_number 166
_symmetry_space_group_name_Hall '-R 3 2"'
loop_
_atom_site_label
_atom_site_type_symbol
_atom_site_fract_x
_atom_site_fract_y
_atom_site_fract_z
Hf1 Hf 0.0000 0.0000 0.0000
Mn1 Mn 0.0000 0.0000 0.5000
Ge1 Ge 0.0000 0.0000 0.2338

***

Entry 3:
NaTbSe2: optimized geometry, PBE.

Geometry as CIF:
```
data_NaTbSe2
_chemical_formula_sum 'Na3 Tb3 Se6'
_cell_length_a 4.1642
_cell_length_b 4.1642
_cell_length_c 21.0212
_cell_angle_alpha 90.00
_cell_angle_beta 90.00
_cell_angle_gamma 120.00
_symmetry_space_group_name_H-M 'R -3 m'
_symmetry_Int_Tables_number 166
_symmetry_space_group_name_Hall '-R 3 2"'
loop_
_atom_site_label
_atom_site_type_symbol
_atom_site_fract_x
_atom_site_fract_y
_atom_site_fract_z
Na1 Na 0.0000 0.0000 0.0000
Tb1 Tb 0.0000 0.0000 0.5000
Se1 Se 0.0000 0.0000 0.2434
```

***

Entry 4:
# PBE GaCu3Ni7, optimized geometry
# formation enthalpy at 0 K: 22.7 kJ per mole of atoms
data_GaCu3Ni7
_chemical_formula_sum 'Ga2 Cu6 Ni14'
_cell_length_a 8.3191
_cell_length_b 8.2319
_cell_length_c 4.4666
_cell_angle_alpha 90.00
_cell_angle_beta 115.35
_cell_angle_gamma 90.00
_symmetry_space_group_name_H-M 'C 1 2/m 1'
_symmetry_Int_Tables_number 12
loop_
_symmetry_equiv_pos_as_xyz
'x,y,z'
'-x,-y,-z'
'-x,y,-z'
'x,-y,z'
'x+1/2,y+1/2,z'
'-x+1/2,-y+1/2,-z'
'-x+1/2,y+1/2,-z'
'x+1/2,-y+1/2,z'
loop_
_atom_site_label
_atom_site_type_symbol
_atom_site_fract_x
_atom_site_fract_y
_atom_site_fract_z
Ga1 Ga 0.0000 0.0000 0.0000
Cu1 Cu 0.0000 0.2947 0.5000
Cu2 Cu 0.0000 0.5000 0.0000
Ni1 Ni 0.0000 0.0000 0.5000
Ni2 Ni 0.1746 0.2569 0.1743
Ni3 Ni 0.2186 0.5000 0.5494

***

Entry 5:
# PBE CaTaP3, optimized geometry
# offset from the most stable computed form: 1975 meV/atom
# formation enthalpy at 0 K: 159.4 kJ per mole of atoms
data_CaTaP3
_chemical_formula_sum 'Ca1 Ta1 P3'
_cell_length_a 4.8571
_cell_length_b 4.8571
_cell_length_c 4.8571
_cell_angle_alpha 90.00
_cell_angle_beta 90.00
_cell_angle_gamma 90.00
_symmetry_space_group_name_H-M 'P m -3 m'
_symmetry_Int_Tables_number 221
_symmetry_space_group_name_Hall '-P 4 2 3'
loop_
_atom_site_label
_atom_site_type_symbol
_atom_site_fract_x
_atom_site_fract_y
_atom_site_fract_z
Ca1 Ca 0.0000 0.0000 0.0000
Ta1 Ta 0.5000 0.5000 0.5000
P1 P 0.0000 0.0000 0.5000

***

Entry 6:
# PBE Ca2TlTc, optimized geometry
# offset from the most stable computed form: 3 meV/atom
# formation enthalpy at 0 K: 28.9 kJ per mole of atoms
data_Ca2TlTc
_chemical_formula_sum 'Ca4 Tl2 Tc2'
_cell_length_a 11.4950
_cell_length_b 3.4954
_cell_length_c 5.4308
_cell_angle_alpha 90.00
_cell_angle_beta 110.44
_cell_angle_gamma 90.00
_symmetry_space_group_name_H-M 'C 1 m 1'
_symmetry_Int_Tables_number 8
loop_
_symmetry_equiv_pos_as_xyz
'x,y,z'
'x,-y,z'
'x+1/2,y+1/2,z'
'x+1/2,-y+1/2,z'
loop_
_atom_site_label
_atom_site_type_symbol
_atom_site_fract_x
_atom_site_fract_y
_atom_site_fract_z
Ca1 Ca 0.0000 0.0000 0.0000
Ca2 Ca 0.2005 0.0000 0.6496
Tl1 Tl 0.4339 0.0000 0.4447
Tc1 Tc 0.2441 0.5000 0.1668

***

Entry 7:
CuSbF6: optimized geometry, PBE.

Geometry as CIF:
```
data_CuSbF6
_chemical_formula_sum 'Cu2 Sb2 F12'
_cell_length_a 5.2598
_cell_length_b 5.2598
_cell_length_c 9.8223
_cell_angle_alpha 90.00
_cell_angle_beta 90.00
_cell_angle_gamma 120.00
_symmetry_space_group_name_H-M 'P -3 1 c'
_symmetry_Int_Tables_number 163
_symmetry_space_group_name_Hall '-P 3 2c'
loop_
_atom_site_label
_atom_site_type_symbol
_atom_site_fract_x
_atom_site_fract_y
_atom_site_fract_z
Cu1 Cu 0.3333 0.6667 0.2500
Sb1 Sb 0.0000 0.0000 0.0000
F1 F 0.0423 0.3241 0.1174
```

***

Entry 8:
# PBE Li2PrTm2Ga2, optimized geometry
# formation enthalpy at 0 K: -27.1 kJ per mole of atoms
data_Li2PrTm2Ga2
_chemical_formula_sum 'Li6 Pr3 Tm6 Ga6'
_cell_length_a 4.6572
_cell_length_b 4.6572
_cell_length_c 26.1380
_cell_angle_alpha 90.00
_cell_angle_beta 90.00
_cell_angle_gamma 120.00
_symmetry_space_group_name_H-M 'R -3 m'
_symmetry_Int_Tables_number 166
_symmetry_space_group_name_Hall '-R 3 2"'
loop_
_atom_site_label
_atom_site_type_symbol
_atom_site_fract_x
_atom_site_fract_y
_atom_site_fract_z
Li1 Li 0.0000 0.0000 0.0918
Pr1 Pr 0.0000 0.0000 0.5000
Tm1 Tm 0.0000 0.0000 0.3712
Ga1 Ga 0.0000 0.0000 0.2449

***

Entry 9:
Ga2PI8: optimized geometry, PBE.

Geometry as CIF:
```
data_Ga2PI8
_chemical_formula_sum 'Ga4 P2 I16'
_cell_length_a 12.8878
_cell_length_b 11.3792
_cell_length_c 7.6407
_cell_angle_alpha 90.00
_cell_angle_beta 93.08
_cell_angle_gamma 90.00
_symmetry_space_group_name_H-M 'C 1 2/m 1'
_symmetry_Int_Tables_number 12
loop_
_symmetry_equiv_pos_as_xyz
'x,y,z'
'-x,-y,-z'
'-x,y,-z'
'x,-y,z'
'x+1/2,y+1/2,z'
'-x+1/2,-y+1/2,-z'
'-x+1/2,y+1/2,-z'
'x+1/2,-y+1/2,z'
loop_
_atom_site_label
_atom_site_type_symbol
_atom_site_fract_x
_atom_site_fract_y
_atom_site_fract_z
Ga1 Ga 0.2246 0.0000 0.3191
P1 P 0.0000 0.0000 0.0000
I1 I 0.0944 0.5000 0.7934
I2 I 0.1117 0.1755 0.1749
I3 I 0.2121 0.0000 0.6490
```

***

Entry 10:
# PBE CuPS2O, optimized geometry
# offset from the most stable computed form: 441 meV/atom
data_CuPS2O
_chemical_formula_sum 'Cu1 P1 S2 O1'
_cell_length_a 4.3951
_cell_length_b 4.3951
_cell_length_c 4.5918
_cell_angle_alpha 90.00
_cell_angle_beta 90.00
_cell_angle_gamma 90.00
_symmetry_space_group_name_H-M 'P 4/m m m'
_symmetry_Int_Tables_number 123
_symmetry_space_group_name_Hall '-P 4 2'
loop_
_atom_site_label
_atom_site_type_symbol
_atom_site_fract_x
_atom_site_fract_y
_atom_site_fract_z
Cu1 Cu 0.0000 0.0000 0.0000
P1 P 0.0000 0.0000 0.5000
S1 S 0.0000 0.5000 0.0000
O1 O 0.5000 0.5000 0.5000

***

Entry 11:
# PBE Y2ReBr, optimized geometry
# offset from the most stable computed form: 1052 meV/atom
data_Y2ReBr
_chemical_formula_sum 'Y8 Re4 Br4'
_cell_length_a 7.0696
_cell_length_b 7.0696
_cell_length_c 7.0696
_cell_angle_alpha 90.00
_cell_angle_beta 90.00
_cell_angle_gamma 90.00
_symmetry_space_group_name_H-M 'F -4 3 m'
_symmetry_Int_Tables_number 216
_symmetry_space_group_name_Hall 'F -4 2 3'
loop_
_atom_site_label
_atom_site_type_symbol
_atom_site_fract_x
_atom_site_fract_y
_atom_site_fract_z
Y1 Y 0.0000 0.0000 0.0000
Y2 Y 0.2500 0.2500 0.2500
Re1 Re 0.0000 0.0000 0.5000
Br1 Br 0.2500 0.2500 0.7500

***

Entry 12:
# PBE Y3Ho3In2, optimized geometry
# offset from the most stable computed form: 106 meV/atom
# formation enthalpy at 0 K: -15.7 kJ per mole of atoms
data_Y3Ho3In2
_chemical_formula_sum 'Y12 Ho12 In8'
_cell_length_a 5.1410
_cell_length_b 11.7710
_cell_length_c 15.9450
_cell_angle_alpha 90.00
_cell_angle_beta 90.00
_cell_angle_gamma 90.00
_symmetry_space_group_name_H-M 'C m c m'
_symmetry_Int_Tables_number 63
_symmetry_space_group_name_Hall '-C 2c 2'
loop_
_atom_site_label
_atom_site_type_symbol
_atom_site_fract_x
_atom_site_fract_y
_atom_site_fract_z
Y1 Y 0.0000 0.0404 0.1044
Y2 Y 0.0000 0.2599 0.2500
Ho1 Ho 0.0000 0.3572 0.0323
Ho2 Ho 0.0000 0.4595 0.7500
In1 In 0.0000 0.2294 0.6402

***

no.,energy (eV/atom)
1,-7.686
2,-7.329
3,-4.938
4,-4.836
5,-4.365
6,-3.885
7,-4.453
8,-3.653
9,-2.443
10,-3.268
11,-6.193
12,-4.988